## NpGaSi (GGA-PBE)

Data for a relaxed NpGaSi crystal.

```
NpGaSi
1.0
4.203 0.000 0.000
-2.101 3.640 0.000
0.000 0.000 3.793
Np Ga Si
1 1 1
Cartesian
0.000 0.000 0.000 Np
0.000 2.427 1.896 Ga
2.101 1.213 1.896 Si
```

Calculated values
Total energy ... -7.301 eV per atom

=====

## NpGaSi (GGA-PBE)

Data for a relaxed NpGaSi crystal.

```
NpGaSi
1.0
-2.163 3.191 4.112
2.163 -3.191 4.112
2.163 3.191 -4.112
Np Ga Si
2 2 2
Cartesian
0.000 0.000 0.000 Np
0.000 3.191 0.779 Np
2.163 1.880 -0.969 Ga
0.000 1.310 3.143 Ga
2.163 -1.269 1.765 Si
2.163 1.269 1.765 Si
```

Calculated values
Total energy ... -7.272 eV per atom

=====

## NpGa2Si (GGA-PBE)

Data for a relaxed NpGa2Si crystal.

```
NpGa2Si
1.0
0.000 3.375 3.375
3.375 0.000 3.375
3.375 3.375 0.000
Np Ga Si
1 2 1
Cartesian
0.000 0.000 0.000 Np
1.688 1.688 1.688 Ga
5.063 5.063 5.063 Ga
3.375 3.375 3.375 Si
```

Calculated values
Relative energy among the computed polymorphs ... 412 meV per atom
Total energy ... -5.909 eV per atom

=====

## NpGaSi (GGA-PBE)

Data for a relaxed NpGaSi crystal.

```
NpGaSi
1.0
-2.226 2.946 3.995
2.226 -2.946 3.995
2.226 2.946 -3.995
Np Ga Si
2 2 2
Cartesian
0.000 1.161 0.000 Np
0.000 4.731 0.000 Np
0.000 0.000 2.756 Ga
0.000 0.000 5.234 Ga
2.226 0.000 1.488 Si
0.000 2.946 2.507 Si
```

Calculated values
Total energy ... -7.280 eV per atom

=====

## NpGaSi (GGA-PBE)

Data for a relaxed NpGaSi crystal.

```
NpGaSi
1.0
4.199 0.000 0.000
-2.100 3.637 0.000
0.000 0.000 7.596
Np Ga Si
2 2 2
Cartesian
0.000 0.000 0.000 Np
0.000 0.000 3.798 Np
0.000 2.424 1.899 Ga
2.100 1.212 5.697 Ga
0.000 2.424 5.697 Si
2.100 1.212 1.899 Si
```

Calculated values
Total energy ... -7.301 eV per atom

=====

## NpGa2Si (GGA-PBE)

Data for a relaxed NpGa2Si crystal.

```
NpGa2Si
1.0
4.090 0.000 0.000
0.000 4.090 0.000
0.000 0.000 4.405
Np Ga Si
1 2 1
Cartesian
0.000 0.000 0.000 Np
0.000 2.045 2.202 Ga
2.045 0.000 2.202 Ga
2.045 2.045 0.000 Si
```

Calculated values
Relative energy among the computed polymorphs ... 0 meV per atom
Total energy ... -6.320 eV per atom

=====

## NpGaSi4 (GGA-PBE)

Data for a relaxed NpGaSi4 crystal.

```
NpGaSi4
1.0
0.000 3.657 3.657
3.657 0.000 3.657
3.657 3.657 0.000
Np Ga Si
1 1 4
Cartesian
0.000 0.000 0.000 Np
5.485 5.485 5.485 Ga
2.751 2.751 2.751 Si
4.563 4.563 2.751 Si
4.563 2.751 4.563 Si
2.751 4.563 4.563 Si
```

Calculated values
Total energy ... -6.281 eV per atom

=====

## Np2Ga8Si (GGA-PBE)

Data for a relaxed Np2Ga8Si crystal.

```
Np2Ga8Si
1.0
4.468 0.000 0.000
0.000 4.468 0.000
0.000 0.000 10.616
Np Ga Si
2 8 1
Cartesian
0.000 0.000 2.057 Np
0.000 0.000 8.559 Np
0.000 2.234 0.000 Ga
0.000 2.234 3.964 Ga
0.000 2.234 6.652 Ga
2.234 0.000 0.000 Ga
2.234 0.000 3.964 Ga
2.234 0.000 6.652 Ga
2.234 2.234 2.036 Ga
2.234 2.234 8.580 Ga
0.000 0.000 5.308 Si
```

Calculated values
Total energy ... -5.139 eV per atom

=====

| no. | ΔE_f (raw) (eV per atom) | DOS at the Fermi energy (states/eV/cell) |
| --- | --- | --- |
| 1 | -0.17 | 4.382 |
| 2 | -0.14 | 11.936 |
| 3 | 0.20 | 6.483 |
| 4 | -0.15 | 5.989 |
| 5 | -0.17 | 8.906 |
| 6 | -0.22 | 6.794 |
| 7 | 0.00 | 10.108 |
| 8 | -0.09 | 18.867 |